DFT (PBE-GGA) results for an optimized crystal structure of AlMo2Os.

## Properties
Total energy (eV per atom): -9.1475
E_form (eV per atom): 0.011
DOS(E_F) (states/eV/atom): 0.67

Cell: 4.739 4.739 4.840 Å, 97.38 97.38 34.45°
Fractional positions:
Al  0.000  0.000  0.000
Mo  0.514  0.514  0.512
Mo  0.753  0.753  0.240
Os  0.257  0.257  0.751